No. 1
This record from the Alexandria database describes a relaxed LiCo2Au crystal. The functional is PBE-GGA.

## Properties
Energy relative to the elements: 162 meV per atom
Energy: -4.689 eV/atom

Unit cell a=4.7951 b=4.7951 c=2.6385 alpha=90.00 beta=90.00 gamma=118.27
Atoms (fractional coordinates):
Au: 0.0000 0.5000 0.5000
Co: 0.0000 0.0000 0.0000
Li: 0.5000 0.0000 0.5000
Co: 0.5000 0.5000 0.0000

---

No. 2
This record from the Alexandria database describes a relaxed LiCo2Au crystal. The functional is PBE-GGA.

## Properties
Energy relative to the elements: 65 meV per atom
Energy: -4.785 eV/atom

Unit cell a=4.2798 b=2.6839 c=4.6774 alpha=90.00 beta=104.56 gamma=90.00
Atoms (fractional coordinates):
Au: 0.5000 0.5000 0.0000
Co: 0.0000 0.5000 0.5000
Li: 0.0000 0.0000 0.0000
Co: 0.5000 0.0000 0.5000

---

No. 3
This record from the Alexandria database describes a relaxed Li2CoAu crystal. The functional is PBE-GGA.

## Properties
Energy relative to the elements: -29 meV per atom
Energy: -3.582 eV/atom

Unit cell a=4.7489 b=4.7489 c=4.7494 alpha=82.09 beta=82.09 gamma=32.63
Atoms (fractional coordinates):
Li: 0.0078 0.0078 0.0029
Li: 0.2433 0.2433 0.2472
Au: 0.4955 0.4955 0.5163
Co: 0.7535 0.7535 0.7336

---

No. 4
This record from the Alexandria database describes a relaxed Li2CoAu crystal. The functional is PBE-GGA.

## Properties
Energy relative to the elements: -37 meV per atom
Energy: -3.590 eV/atom

Unit cell a=2.6982 b=2.6982 c=7.7955 alpha=90.00 beta=90.00 gamma=90.24
Atoms (fractional coordinates):
Li: 0.0000 0.0000 0.9931
Au: 0.5000 0.5000 0.2500
Co: 0.5000 0.5000 0.7500
Li: 0.0000 0.0000 0.5069